Record 1
Entry from the Alexandria database: a relaxed structure of KAg2IrCl8 (PBE).

* density of states at the Fermi level: 13.1 states/eV per cell
* E_form (uncorrected): -0.658 eV/atom

Lattice parameters (Å, degrees): 6.2911 7.3757 8.4956 83.72 95.56 122.80
Fractional coordinates of all 12 atoms:
K1 0.0000 0.0000 0.5000
Ag1 0.4679 0.4765 0.7410
Ag2 0.5321 0.5235 0.2590
Ir1 0.0000 0.0000 0.0000
Cl1 0.0357 0.7839 0.2142
Cl2 0.5608 0.7844 0.0285
Cl3 0.0411 0.2456 0.1700
Cl4 0.9643 0.2161 0.7858
Cl5 0.4392 0.2156 0.9715
Cl6 0.9589 0.7544 0.8300
Cl7 0.4231 0.6905 0.5140
Cl8 0.5769 0.3095 0.4860

Record 2
Entry from the Alexandria database: a relaxed structure of KAgIrCl6 (PBE).

* density of states at the Fermi level: 17.0 states/eV per cell
* E_form (uncorrected): -0.727 eV/atom

Lattice parameters (Å, degrees): 7.1023 7.1023 10.7269 90.00 90.00 120.00
Fractional coordinates of all 18 atoms:
K1 0.3333 0.6667 0.2500
K2 0.6667 0.3333 0.7500
Ag1 0.0000 0.0000 0.0000
Ag2 0.0000 0.0000 0.5000
Ir1 0.6667 0.3333 0.2500
Ir2 0.3333 0.6667 0.7500
Cl1 0.6830 0.6096 0.1206
Cl2 0.9266 0.3170 0.1206
Cl3 0.3170 0.9266 0.6206
Cl4 0.0734 0.6830 0.8794
Cl5 0.3904 0.3170 0.3794
Cl6 0.9266 0.6096 0.3794
Cl7 0.6096 0.9266 0.8794
Cl8 0.6830 0.0734 0.3794
Cl9 0.0734 0.3904 0.6206
Cl10 0.3904 0.0734 0.1206
Cl11 0.6096 0.6830 0.6206
Cl12 0.3170 0.3904 0.8794

> Number 1 is which compound?

KAg2IrCl8

> The highest density of states at the Fermi level belongs to which entry?

KAgIrCl6